# 1
A geometry-optimized Ho5CoRu4 structure. Source: Alexandria via LeMat-Bulk, functional PBE.

Cell and atoms, written as POSCAR:
```
Ho5CoRu4
1.0
-0.2167 -3.3609 0.3370
1.9807 -0.4000 -2.7154
13.5578 0.1156 9.8723
Ho Co Ru
5 1 4
Direct
0.5000 0.5000 0.0984
0.5000 0.5000 0.2986
0.5000 0.5000 0.5000
0.5000 0.5000 0.7014
0.5000 0.5000 0.9016
0.0000 0.0000 0.0000
0.0000 0.0000 0.1957
0.0000 0.0000 0.3990
0.0000 0.0000 0.6010
0.0000 0.0000 0.8043
```

Calculated values
As for the formation energy from the elements: -0.3223 eV/atom. As for the space-group type: P4/mmm, No. 123.

=====

# 2
A geometry-optimized SrHo2Sc structure. Source: Alexandria via LeMat-Bulk, functional PBE.

Cell and atoms, written as POSCAR:
```
SrHo2Sc
1.0
-1.0815 2.1400 -3.0402
-3.3216 -1.9785 -0.2110
-3.9599 6.0441 5.6631
Sc Sr Ho
1 1 2
Direct
0.5000 0.5000 0.0000
0.5000 0.5000 0.5000
0.0000 0.0000 0.8077
0.0000 0.0000 0.1923
```

Calculated values
As for the formation energy from the elements: 0.1174 eV/atom. As for the space-group type: P4/mmm, No. 123.

=====

# 3
A geometry-optimized Gd2AgRu structure. Source: Alexandria via LeMat-Bulk, functional PBE.

Cell and atoms, written as POSCAR:
```
Gd2AgRu
1.0
3.4355 0.0000 0.0000
0.0000 3.4355 0.0000
0.0000 0.0000 7.6503
Ru Gd Ag
1 2 1
Direct
0.5000 0.5000 0.0000
0.0000 0.0000 0.7778
0.0000 0.0000 0.2222
0.5000 0.5000 0.5000
```

Calculated values
As for the formation energy from the elements: -0.3598 eV/atom. As for the space-group type: P4/mmm, No. 123.

=====

# 4
A geometry-optimized BaSrTc2 structure. Source: Alexandria via LeMat-Bulk, functional PBE.

Cell and atoms, written as POSCAR:
```
BaSrTc2
1.0
-0.2624 1.1192 5.2010
-3.9096 -2.0601 2.9736
1.0950 -3.7747 3.5951
Sr Ba Tc
1 1 2
Direct
0.0000 0.0000 0.0000
0.5000 0.5000 0.5000
0.2500 0.2500 0.2500
0.7500 0.7500 0.7500
```

Calculated values
As for the formation energy from the elements: 1.3696 eV/atom. As for the space-group type: Fm-3m, No. 225.

=====

# 5
A geometry-optimized Pr2Zn3Ni2 structure. Source: Alexandria via LeMat-Bulk, functional PBE.

Cell and atoms, written as POSCAR:
```
Pr2Zn3Ni2
1.0
-2.2234 1.1604 3.2252
-1.4915 -4.8383 -1.8752
5.8937 -0.2250 4.1439
Pr Zn Ni
2 3 2
Direct
0.8594 0.7187 0.2334
0.1406 0.2813 0.7666
0.5000 0.0000 0.0000
0.6438 0.2876 0.4371
0.3562 0.7124 0.5629
0.8702 0.7404 0.8039
0.1298 0.2596 0.1961
```

Calculated values
As for the formation energy from the elements: -0.3621 eV/atom. As for the space-group type: C2/m, No. 12.

=====

# 6
A geometry-optimized LiLa4Te4 structure. Source: Alexandria via LeMat-Bulk, functional PBE.

Cell and atoms, written as POSCAR:
```
LiLa4Te4
1.0
-5.9760 2.5599 0.0073
-1.5013 -3.5290 8.4856
3.3453 7.7983 3.8351
Li La Te
2 8 8
Direct
0.0000 0.0000 0.0000
0.5000 0.5000 0.5000
0.2707 0.2788 0.0000
0.7707 0.5000 0.7788
0.2707 0.7212 0.0000
0.2293 0.2212 0.5000
0.7293 0.0000 0.7212
0.2293 0.7788 0.5000
0.7707 0.5000 0.2212
0.7293 0.0000 0.2788
0.7368 0.7323 0.5000
0.7368 0.2677 0.5000
0.2368 0.0000 0.7677
0.7632 0.2323 0.0000
0.7632 0.7677 0.0000
0.2632 0.5000 0.2677
0.2632 0.5000 0.7323
0.2368 0.0000 0.2323
```

Calculated values
The calculation puts the formation energy from raw total energies at -1.3422 eV per atom. As for the space-group type: P4_2/nmc, No. 137.

=====

# 7
A geometry-optimized YEr2HfN4 structure. Source: Alexandria via LeMat-Bulk, functional PBE.

Cell and atoms, written as POSCAR:
```
YEr2HfN4
1.0
3.3667 0.0000 0.0000
0.0000 5.8470 0.1149
0.0000 -2.0322 5.4730
Y Er Hf N
1 2 1 4
Direct
0.5000 0.5000 0.0000
0.5000 0.0000 0.5000
0.0000 0.5000 0.5000
0.0000 0.0000 0.0000
0.5000 0.2338 0.2363
0.5000 0.7662 0.7637
0.0000 0.2381 0.7566
0.0000 0.7619 0.2434
```

Calculated values
The calculation puts the formation energy from raw total energies at -1.7872 eV per atom. As for the space-group type: P2/m, No. 10.

=====

# 8
A geometry-optimized Tl5InTe4 structure. Source: Alexandria via LeMat-Bulk, functional PBE.

Cell and atoms, written as POSCAR:
```
Tl5InTe4
1.0
4.6223 0.0000 0.0000
0.0000 8.6218 -0.8429
-2.3112 -3.1979 9.3276
Tl In Te
5 1 4
Direct
0.2075 0.3243 0.4149
0.1508 0.7717 0.3015
0.8492 0.2283 0.6985
0.5000 0.5000 0.0000
0.7925 0.6757 0.5851
0.5000 0.0000 0.0000
0.6583 0.0381 0.3166
0.0367 0.2600 0.0733
0.3417 0.9619 0.6834
0.9633 0.7400 0.9267
```

Calculated values
The calculation puts the formation energy from raw total energies at -0.2624 eV per atom. As for the space-group type: C2/m, No. 12.